No. 1
Below is crystalline TiSn2Pd at its relaxed geometry, with properties calculated at the PBE level.

It has space group P4/mmm (No. 123), with a = 3.136 Å, b = 3.136 Å, c = 7.771 Å, α = 90.00°, β = 90.00° and γ = 90.00°. The distinct sites, in fractional coordinates, are Ti at (0.000, 0.000, 0.000), Sn at (0.500, 0.500, 0.258) and Pd at (0.000, 0.000, 0.500).

Its calculated formation energy is -0.27 eV per atom. For the uncorrected energy, the calculation gives -22.180 eV per cell. The value obtained for the magnetic moment is 0.00 μB per atom.



No. 2
Below is crystalline Ti8Sn2Pd at its relaxed geometry, with properties calculated at the PBE level.

It has space group C2/m (No. 12), with a = 15.329 Å, b = 4.740 Å, c = 5.326 Å, α = 90.00°, β = 93.11° and γ = 90.00°. The distinct sites, in fractional coordinates, are Ti at (0.047, 0.000, 0.280), Ti at (0.083, 0.500, 0.564), Ti at (0.165, 0.500, 0.122), Ti at (0.236, 0.000, 0.346), Sn at (0.149, 0.000, 0.810) and Pd at (0.000, 0.500, 0.000).

Its calculated formation energy is -0.27 eV per atom. For the uncorrected energy, the calculation gives -158.756 eV per cell. The value obtained for the magnetic moment is 0.00 μB per atom.



No. 3
Below is crystalline TiSn2Pd at its relaxed geometry, with properties calculated at the PBE level.

It has space group P4/mmm (No. 123), with a = 4.479 Å, b = 4.479 Å, c = 3.804 Å, α = 90.00°, β = 90.00° and γ = 90.00°. The distinct sites, in fractional coordinates, are Ti at (0.000, 0.000, 0.000), Sn at (0.000, 0.500, 0.500) and Pd at (0.500, 0.500, 0.000).

Its calculated formation energy is -0.35 eV per atom. For the uncorrected energy, the calculation gives -22.477 eV per cell. The value obtained for the magnetic moment is 0.00 μB per atom.



Question: uncorrected energy of number 2 (Ti8Sn2Pd)?
Answer: -158.756 eV per cell



What did the first record say?
Below is crystalline TiSn2Pd at its relaxed geometry, with properties calculated at the PBE level.

It has space group P4/mmm (No. 123), with a = 3.136 Å, b = 3.136 Å, c = 7.771 Å, α = 90.00°, β = 90.00° and γ = 90.00°. The distinct sites, in fractional coordinates, are Ti at (0.000, 0.000, 0.000), Sn at (0.500, 0.500, 0.258) and Pd at (0.000, 0.000, 0.500).

Its calculated formation energy is -0.27 eV per atom. For the uncorrected energy, the calculation gives -22.180 eV per cell. The value obtained for the magnetic moment is 0.00 μB per atom.